# 1
RbGdCdTe3 | PBE | optimized geometry

Output
Space group ... No. 62

Cell lengths 11.8948, 4.5406, 16.3300 Å; angles 90.00, 90.00, 90.00 degrees
Positions (direct):
Cd1 0.2436 0.2500 0.2120
Cd2 0.7436 0.2500 0.2880
Cd3 0.2564 0.7500 0.7120
Cd4 0.7564 0.7500 0.7880
Gd1 0.4920 0.7500 0.2487
Gd2 0.9920 0.7500 0.2513
Gd3 0.0080 0.2500 0.7487
Gd4 0.5080 0.2500 0.7513
Rb1 0.2421 0.7500 0.0027
Rb2 0.7421 0.7500 0.4973
Rb3 0.2579 0.2500 0.5027
Rb4 0.7579 0.2500 0.9973
Te1 0.4436 0.2500 0.1201
Te2 0.0414 0.2500 0.1226
Te3 0.7425 0.7500 0.1789
Te4 0.2425 0.7500 0.3211
Te5 0.5414 0.2500 0.3774
Te6 0.9436 0.2500 0.3799
Te7 0.0564 0.7500 0.6201
Te8 0.4586 0.7500 0.6226
Te9 0.7575 0.2500 0.6789
Te10 0.2575 0.2500 0.8211
Te11 0.9586 0.7500 0.8774
Te12 0.5564 0.7500 0.8799



# 2
RbGdCdTe3 | PBE | optimized geometry

Output
Space group ... No. 11

Cell lengths 9.5676, 4.5518, 11.0991 Å; angles 90.00, 109.09, 90.00 degrees
Positions (direct):
Cd1 0.5819 0.2500 0.1119
Cd2 0.4181 0.7500 0.8881
Gd1 0.8213 0.7500 0.3663
Gd2 0.1787 0.2500 0.6337
Rb1 0.2696 0.7500 0.2420
Rb2 0.7304 0.2500 0.7580
Te1 0.7339 0.7500 0.0513
Te2 0.0342 0.2500 0.3450
Te3 0.5947 0.2500 0.3688
Te4 0.4053 0.7500 0.6312
Te5 0.9658 0.7500 0.6550
Te6 0.2661 0.2500 0.9487



Calculated polymorph energy (0 for the lowest one) (kJ/mol of atoms), listed in the same order as above: 0.1; 1.2